# NaGaC (PBE, optimized geometry)
data_NaGaC
_chemical_formula_sum 'Na2 Ga2 C2'
_space_group_name_H-M_alt 'P 1'
_space_group_IT_number 1
_cell_length_a 6.441
_cell_length_b 4.405
_cell_length_c 4.079
_cell_angle_alpha 90.00
_cell_angle_beta 90.00
_cell_angle_gamma 90.00
loop_
_space_group_symop_operation_xyz
'x,y,z'
loop_
_atom_site_label
_atom_site_type_symbol
_atom_site_fract_x
_atom_site_fract_y
_atom_site_fract_z
Na1 Na 0.250 0.000 0.033
Na2 Na 0.750 0.000 0.967
C1 C 0.250 0.500 0.728
C2 C 0.750 0.500 0.272
Ga1 Ga 0.000 0.500 0.500
Ga2 Ga 0.500 0.500 0.500
# space-group type = No. 51
# DOS at the Fermi energy = 0.02 states/eV per cell
# ΔE_f = 2.14 eV/f.u.
# size of the total moment = 0.00 μB/f.u.